[1]
# K2CdAu

A geometry-optimized K2CdAu structure (GGA-PBEsol, Alexandria via LeMat-Bulk).

The formation energy is -0.123 eV/atom.

The structure belongs to space group Amm2 (No. 38); the cell edges are 4.786, 4.794 and 12.137 Å and the angles 90.00°, 90.00° and 90.00°. The asymmetric unit holds K at (0.000, 0.000, 0.000), K at (0.500, 0.000, 0.295), Cd at (0.500, 0.000, 0.593) and Au at (0.000, 0.000, 0.706).

=====

[2]
# SiIr2Cl

A geometry-optimized SiIr2Cl structure (GGA-PBEsol, Alexandria via LeMat-Bulk).

As for the energy relative to the elements, uncorrected: 0.4670 eV per atom. As for the relative energy among the computed polymorphs: 117.0 meV per atom.

The structure belongs to space group Fm-3m (No. 225); the cell edges are 6.061, 6.061 and 6.061 Å and the angles 90.00°, 90.00° and 90.00°. The asymmetric unit holds Si at (0.000, 0.000, 0.000), Ir at (0.250, 0.250, 0.250) and Cl at (0.000, 0.000, 0.500).

=====

[3]
# Si6Ni3Au

A geometry-optimized Si6Ni3Au structure (GGA-PBEsol, Alexandria via LeMat-Bulk).

As for the energy relative to the elements, uncorrected: -0.4300 eV per atom.

The structure belongs to space group R-3m (No. 166, hexagonal axes); the cell edges are 3.7414, 3.7414 and 33.6192 Å and the angles 90.00°, 90.00° and 120.00°. The asymmetric unit holds Si at (0.0000, 0.0000, 0.0699), Si at (0.0000, 0.0000, 0.2131), Si at (0.0000, 0.0000, 0.3576), Ni at (0.0000, 0.0000, 0.0000), Ni at (0.0000, 0.0000, 0.4249) and Au at (0.0000, 0.0000, 0.5000).